(1)
Material: LaZr4Cu
Method: DFT, GGA-PBE
State: relaxed

Cell and atoms, written as POSCAR:
```
LaZr4Cu
1.0
0.0000 4.1979 4.1979
4.1979 0.0000 4.1979
4.1979 4.1979 0.0000
La Zr Cu
1 4 1
Direct
0.0000 0.0000 0.0000
0.1224 0.6258 0.6258
0.6258 0.1224 0.6258
0.6258 0.6258 0.1224
0.6258 0.6258 0.6258
0.2500 0.2500 0.2500
```

Values from the calculation:
The calculation puts the total moment at 0.00 μB/f.u. The calculation puts the density of states at the Fermi level at 8.860 states/eV/cell. The calculation puts the total energy at -0.4948 Ry per atom.

***

(2)
Material: LaZrCu2
Method: DFT, GGA-PBE
State: relaxed

Cell and atoms, written as POSCAR:
```
LaZrCu2
1.0
3.4069 0.0000 0.0000
0.0000 3.4069 0.0000
0.0000 0.0000 7.1298
La Zr Cu
1 1 2
Direct
0.0000 0.0000 0.0000
0.0000 0.0000 0.5000
0.5000 0.5000 0.3033
0.5000 0.5000 0.6967
```

Values from the calculation:
The calculation puts the total moment at 0.64 μB/f.u. The calculation puts the density of states at the Fermi level at 4.433 states/eV/cell. The calculation puts the total energy at -0.4050 Ry per atom.

***

(3)
Material: LaZrCu2
Method: DFT, GGA-PBE
State: relaxed

Cell and atoms, written as POSCAR:
```
LaZrCu2
1.0
3.5055 0.0000 0.0000
0.0000 4.2746 0.0000
-1.7289 0.0000 5.6336
La Zr Cu
1 1 2
Direct
0.0000 0.0000 0.0000
0.7074 0.5000 0.4113
0.2728 0.0000 0.5398
0.3991 0.5000 0.7973
```

Values from the calculation:
The calculation puts the total moment at 0.02 μB/f.u. The calculation puts the density of states at the Fermi level at 5.553 states/eV/cell. The calculation puts the total energy at -0.4008 Ry per atom.